Entry 1:
The following is a DFT calculation (PBE-GGA) of AcMg3Rh after structural relaxation.

Lattice parameters (Å, degrees): 5.047 5.047 5.047 90.00 90.00 90.00
Fractional positions:
1 Rh 0.000 0.000 0.000
2 Mg 0.500 0.000 0.000
3 Mg 0.000 0.500 0.000
4 Mg 0.000 0.000 0.500
5 Ac 0.500 0.500 0.500

Results
For the energy above the lowest structure with this stoichiometry, the calculation gives 0.100 eV per atom.


Entry 2:
The following is a DFT calculation (PBE-GGA) of PmBeZnAg after structural relaxation.

Lattice parameters (Å, degrees): 4.697 4.697 4.697 60.00 60.00 60.00
Fractional positions:
1 Pm 0.750 0.750 0.750
2 Be 0.500 0.500 0.500
3 Ag 0.250 0.250 0.250
4 Zn 0.000 0.000 0.000

Results
For the electronic total energy, the calculation gives -3.20 eV/atom.


Entry 3:
The following is a DFT calculation (PBE-GGA) of Pm3Mg2Cu3 after structural relaxation.

Lattice parameters (Å, degrees): 3.445 5.153 10.705 103.93 99.26 90.00
Fractional positions:
1 Cu 0.123 0.123 0.246
2 Cu 0.000 0.500 0.000
3 Cu 0.877 0.877 0.754
4 Pm 0.500 0.000 0.000
5 Pm 0.378 0.378 0.756
6 Pm 0.622 0.622 0.244
7 Mg 0.271 0.771 0.541
8 Mg 0.729 0.229 0.459

Results
For the electronic total energy, the calculation gives -3.83 eV/atom.


Entry 4:
The following is a DFT calculation (PBE-GGA) of Ho5AlRu4 after structural relaxation.

Lattice parameters (Å, degrees): 3.418 3.418 17.267 90.00 90.00 90.00
Fractional positions:
1 Ru 0.000 0.000 0.402
2 Ru 0.000 0.000 0.796
3 Ru 0.000 0.000 0.204
4 Ru 0.000 0.000 0.598
5 Ho 0.500 0.500 0.694
6 Ho 0.500 0.500 0.887
7 Ho 0.500 0.500 0.113
8 Ho 0.500 0.500 0.500
9 Ho 0.500 0.500 0.306
10 Al 0.000 0.000 0.000

Results
For the electronic total energy, the calculation gives -6.77 eV/atom.


no.,Fermi-level density of states (states/eV/cell)
1,5.40
2,1.23
3,4.54
4,6.41